Record 1
A relaxed structure of Mg2GaAg6, computed with PBE.

a = 4.789 Å, b = 7.996 Å, c = 8.746 Å
α = 90.00°, β = 90.00°, γ = 90.00°
Space group Immm (No. 71)
Symmetry-distinct sites (fractional):
Mg: 0.000 0.000 0.173 [4 per cell]
Ga: 0.000 0.000 0.500 [2 per cell]
Ag: 0.000 0.312 0.336 [8 per cell]
Ag: 0.000 0.315 0.000 [4 per cell]

Values from the calculation:
The calculation puts the energy of formation at -43 meV per atom. Its total energy is -2.6345 eV per atom.

***

Record 2
A relaxed structure of BaHgPb2Br8, computed with PBE.

a = 7.097 Å, b = 7.288 Å, c = 9.177 Å
α = 91.54°, β = 92.37°, γ = 90.41°
Space group P-1 (No. 2)
Symmetry-distinct sites (fractional):
Ba: 0.000 0.000 0.000 [1 per cell]
Hg: 0.000 0.000 0.500 [1 per cell]
Pb: 0.492 0.488 0.263 [2 per cell]
Br: 0.215 0.138 0.710 [2 per cell]
Br: 0.252 0.651 0.496 [2 per cell]
Br: 0.264 0.640 0.994 [2 per cell]
Br: 0.275 0.150 0.265 [2 per cell]

Values from the calculation:
Its total energy is -2.9917 eV per atom. As for the formation energy without anion corrections: -1.07 eV/atom.

***

Record 3
A relaxed structure of KCu2P5, computed with PBE.

a = 3.102 Å, b = 11.599 Å, c = 16.741 Å
α = 90.00°, β = 90.00°, γ = 90.00°
Space group Cmcm (No. 63)
Symmetry-distinct sites (fractional):
K: 0.000 0.074 0.250 [4 per cell]
Cu: 0.000 0.126 0.067 [8 per cell]
P: 0.000 0.087 0.568 [8 per cell]
P: 0.000 0.178 0.750 [4 per cell]
P: 0.000 0.254 0.626 [8 per cell]

Values from the calculation:
The calculation puts the energy of formation at 121 meV per atom. Its total energy is -4.4217 eV per atom.

***

Record 4
A relaxed structure of Ce2RuRh, computed with PBE.

a = 5.854 Å, b = 8.424 Å, c = 7.065 Å
α = 90.00°, β = 90.00°, γ = 90.00°
Space group Pna2_1 (No. 33)
Symmetry-distinct sites (fractional):
Ce: 0.000 0.001 0.000 [4 per cell]
Ce: 0.000 0.398 0.234 [4 per cell]
Ru: 0.001 0.297 0.920 [4 per cell]
Rh: 0.249 0.750 0.080 [4 per cell]

Values from the calculation:
The calculation puts the energy of formation at -395 meV per atom. Its total energy is -7.5187 eV per atom.

***

Record 5
A relaxed structure of SmHoZnPt, computed with PBE.

a = 7.108 Å, b = 7.108 Å, c = 7.108 Å
α = 90.00°, β = 90.00°, γ = 90.00°
Space group F-43m (No. 216)
Symmetry-distinct sites (fractional):
Sm: 0.000 0.000 0.000 [4 per cell]
Ho: 0.000 0.000 0.500 [4 per cell]
Zn: 0.250 0.250 0.250 [4 per cell]
Pt: 0.250 0.250 0.750 [4 per cell]

Values from the calculation:
The calculation puts the energy of formation at -754 meV per atom. Its total energy is -4.9068 eV per atom.

***

Record 6
A relaxed structure of BaSc2Ru, computed with PBE.

a = 3.336 Å, b = 4.440 Å, c = 15.564 Å
α = 90.00°, β = 90.00°, γ = 90.00°
Space group Imm2 (No. 44)
Symmetry-distinct sites (fractional):
Ba: 0.000 0.000 0.000 [2 per cell]
Sc: 0.000 0.000 0.318 [2 per cell]
Sc: 0.000 0.500 0.183 [2 per cell]
Ru: 0.000 0.500 0.690 [2 per cell]

Values from the calculation:
The calculation puts the energy of formation at 35 meV per atom. Its total energy is -5.9305 eV per atom.

***

Record 7
A relaxed structure of Mn3CdCl, computed with PBE.

a = 4.301 Å, b = 4.301 Å, c = 4.301 Å
α = 90.00°, β = 90.00°, γ = 90.00°
Space group Pm-3m (No. 221)
Symmetry-distinct sites (fractional):
Mn: 0.000 0.000 0.500 [3 per cell]
Cd: 0.500 0.500 0.500 [1 per cell]
Cl: 0.000 0.000 0.000 [1 per cell]

Values from the calculation:
Its total energy is -5.4208 eV per atom. As for the formation energy without anion corrections: 0.63 eV/atom.

***

Record 8
A relaxed structure of Na2Mg3Tl4, computed with PBE.

a = 6.525 Å, b = 17.240 Å, c = 8.980 Å
α = 90.00°, β = 90.00°, γ = 90.00°
Space group Cmce (No. 64)
Symmetry-distinct sites (fractional):
Na: 0.000 0.106 0.085 [8 per cell]
Mg: 0.000 0.000 0.500 [4 per cell]
Mg: 0.250 0.230 0.750 [8 per cell]
Tl: 0.000 0.178 0.477 [8 per cell]
Tl: 0.250 0.053 0.750 [8 per cell]

Values from the calculation:
The calculation puts the energy of formation at -35 meV per atom. Its total energy is -1.9111 eV per atom.

***

Record 9
A relaxed structure of Hg2RhCl, computed with PBE.

a = 3.250 Å, b = 4.700 Å, c = 5.254 Å
α = 90.00°, β = 90.00°, γ = 90.00°
Space group Pmmm (No. 47)
Symmetry-distinct sites (fractional):
Hg: 0.000 0.000 0.000 [1 per cell]
Hg: 0.500 0.500 0.000 [1 per cell]
Rh: 0.000 0.500 0.500 [1 per cell]
Cl: 0.500 0.000 0.500 [1 per cell]

Values from the calculation:
Its total energy is -2.0883 eV per atom. As for the formation energy without anion corrections: 0.36 eV/atom.

***

Record 10
A relaxed structure of ZrAgTe, computed with PBE.

a = 6.721 Å, b = 6.721 Å, c = 6.721 Å
α = 90.00°, β = 90.00°, γ = 90.00°
Space group F-43m (No. 216)
Symmetry-distinct sites (fractional):
Zr: 0.000 0.000 0.000 [4 per cell]
Ag: 0.000 0.000 0.500 [4 per cell]
Te: 0.250 0.250 0.250 [4 per cell]

Values from the calculation:
Its total energy is -4.7381 eV per atom. As for the formation energy without anion corrections: 0.11 eV/atom.

***

Record 11
A relaxed structure of LiNp2ScS4, computed with PBE.

a = 6.543 Å, b = 3.838 Å, c = 6.659 Å
α = 90.00°, β = 109.80°, γ = 90.00°
Space group P2/m (No. 10)
Symmetry-distinct sites (fractional):
Li: 0.000 0.000 0.000 [1 per cell]
Np: 0.500 0.000 0.500 [1 per cell]
Np: 0.500 0.500 0.000 [1 per cell]
Sc: 0.000 0.500 0.500 [1 per cell]
S: 0.234 0.000 0.745 [2 per cell]
S: 0.235 0.500 0.247 [2 per cell]

Values from the calculation:
Its total energy is -7.8338 eV per atom. As for the formation energy without anion corrections: -1.50 eV/atom.